Run 1
Density functional theory data (PBE) for NbHIr3 after structural relaxation.

Values from the calculation:
Spin magnetization ... 0.000 μB/atom

Unit cell a=3.984 b=3.984 c=3.984 alpha=90.00 beta=90.00 gamma=90.00
Atoms (fractional coordinates):
Nb (0.000, 0.000, 0.000)
H (0.500, 0.500, 0.500)
Ir (0.000, 0.500, 0.500)
Ir (0.500, 0.000, 0.500)
Ir (0.500, 0.500, 0.000)

Run 2
Density functional theory data (PBE) for NbHIr3 after structural relaxation.

Values from the calculation:
Spin magnetization ... 0.275 μB/atom

Unit cell a=4.805 b=4.805 c=4.805 alpha=90.00 beta=90.00 gamma=90.00
Atoms (fractional coordinates):
Nb (0.000, 0.000, 0.000)
H (0.500, 0.500, 0.500)
Ir (0.000, 0.000, 0.500)
Ir (0.000, 0.500, 0.000)
Ir (0.500, 0.000, 0.000)

Run 3
Density functional theory data (PBE) for NbHIr3 after structural relaxation.

Values from the calculation:
Spin magnetization ... 0.000 μB/atom

Unit cell a=5.653 b=5.653 c=5.653 alpha=120.74 beta=120.64 gamma=88.81
Atoms (fractional coordinates):
Nb (0.237, 0.237, 0.000)
Nb (0.763, 0.763, 0.000)
H (0.500, 0.000, 0.500)
H (0.500, 0.500, 0.000)
Ir (0.244, 0.251, 0.496)
Ir (0.244, 0.749, 0.993)
Ir (0.246, 0.746, 0.500)
Ir (0.754, 0.254, 0.500)
Ir (0.756, 0.251, 0.007)
Ir (0.756, 0.749, 0.504)

run 3 is the most stable structure; the next one sits 11 meV/atom above it.

Run 1
Density functional theory data (PBE) for NbHIr2 after structural relaxation.

Values from the calculation:
Spin magnetization ... 0.000 μB/atom

Unit cell a=6.351 b=6.351 c=5.088 alpha=90.00 beta=90.00 gamma=90.00
Atoms (fractional coordinates):
Nb (0.000, 0.000, 0.000)
Nb (0.000, 0.500, 0.250)
Nb (0.500, 0.000, 0.750)
Nb (0.500, 0.500, 0.500)
H (0.000, 0.000, 0.500)
H (0.000, 0.500, 0.750)
H (0.500, 0.000, 0.250)
H (0.500, 0.500, 0.000)
Ir (0.156, 0.250, 0.625)
Ir (0.250, 0.656, 0.875)
Ir (0.250, 0.844, 0.375)
Ir (0.344, 0.250, 0.125)
Ir (0.656, 0.750, 0.125)
Ir (0.750, 0.156, 0.375)
Ir (0.750, 0.344, 0.875)
Ir (0.844, 0.750, 0.625)

Run 2
Density functional theory data (PBE) for NbHIr2 after structural relaxation.

Values from the calculation:
Spin magnetization ... 0.000 μB/atom

Unit cell a=6.047 b=6.047 c=6.047 alpha=90.00 beta=90.00 gamma=90.00
Atoms (fractional coordinates):
Nb (0.000, 0.000, 0.000)
Nb (0.000, 0.500, 0.500)
Nb (0.500, 0.000, 0.500)
Nb (0.500, 0.500, 0.000)
H (0.000, 0.000, 0.500)
H (0.000, 0.500, 0.000)
H (0.500, 0.000, 0.000)
H (0.500, 0.500, 0.500)
Ir (0.250, 0.250, 0.250)
Ir (0.250, 0.250, 0.750)
Ir (0.250, 0.750, 0.250)
Ir (0.250, 0.750, 0.750)
Ir (0.750, 0.250, 0.250)
Ir (0.750, 0.250, 0.750)
Ir (0.750, 0.750, 0.250)
Ir (0.750, 0.750, 0.750)

run 1 is the most stable structure; the next one sits 316 meV/atom above it.

Run 1
Density functional theory data (PBE) for NbNi2HIr after structural relaxation.

Values from the calculation:
Spin magnetization ... 0.062 μB/atom

Unit cell a=3.819 b=3.819 c=3.873 alpha=90.00 beta=90.00 gamma=90.00
Atoms (fractional coordinates):
Nb (0.000, 0.000, 0.000)
Ni (0.000, 0.500, 0.500)
Ni (0.500, 0.000, 0.500)
H (0.500, 0.500, 0.500)
Ir (0.500, 0.500, 0.000)

Run 2
Density functional theory data (PBE) for NbNi2HIr after structural relaxation.

Values from the calculation:
Spin magnetization ... 0.000 μB/atom

Unit cell a=3.744 b=3.744 c=4.028 alpha=90.00 beta=90.00 gamma=90.00
Atoms (fractional coordinates):
Nb (0.000, 0.000, 0.000)
Ni (0.000, 0.500, 0.500)
Ni (0.500, 0.000, 0.500)
H (0.000, 0.000, 0.500)
Ir (0.500, 0.500, 0.000)

run 2 is the most stable structure; the next one sits 53 meV/atom above it.

Run 1
Density functional theory data (PBE) for NbHIr2Os after structural relaxation.

Values from the calculation:
Spin magnetization ... 0.000 μB/atom

Unit cell a=3.911 b=3.911 c=4.110 alpha=90.00 beta=90.00 gamma=90.00
Atoms (fractional coordinates):
Nb (0.000, 0.000, 0.000)
H (0.000, 0.000, 0.500)
Ir (0.000, 0.500, 0.500)
Ir (0.500, 0.000, 0.500)
Os (0.500, 0.500, 0.000)

Run 2
Density functional theory data (PBE) for NbHIr2Os after structural relaxation.

Values from the calculation:
Spin magnetization ... 0.000 μB/atom

Unit cell a=3.950 b=3.950 c=4.027 alpha=90.00 beta=90.00 gamma=90.00
Atoms (fractional coordinates):
Nb (0.000, 0.000, 0.000)
H (0.500, 0.500, 0.500)
Ir (0.000, 0.500, 0.500)
Ir (0.500, 0.000, 0.500)
Os (0.500, 0.500, 0.000)

run 2 is the most stable structure; the next one sits 45 meV/atom above it.

Run 1
Density functional theory data (PBE) for Nb2HIrPd after structural relaxation.

Values from the calculation:
Spin magnetization ... 0.000 μB/atom

Unit cell a=4.063 b=4.063 c=4.064 alpha=90.00 beta=90.00 gamma=90.00
Atoms (fractional coordinates):
Nb (0.000, 0.500, 0.000)
Nb (0.500, 0.000, 0.000)
H (0.000, 0.000, 0.000)
Ir (0.500, 0.500, 0.500)
Pd (0.000, 0.000, 0.500)

Run 2
Density functional theory data (PBE) for Nb2HIrPd after structural relaxation.

Values from the calculation:
Spin magnetization ... 0.000 μB/atom

Unit cell a=4.072 b=4.072 c=4.053 alpha=90.00 beta=90.00 gamma=90.00
Atoms (fractional coordinates):
Nb (0.000, 0.500, 0.000)
Nb (0.500, 0.000, 0.000)
H (0.000, 0.000, 0.000)
Ir (0.000, 0.000, 0.500)
Pd (0.500, 0.500, 0.500)

run 1 is the most stable structure; the next one sits 18 meV/atom above it.

Run 1
Density functional theory data (PBE) for NbHIr2Pt after structural relaxation.

Values from the calculation:
Spin magnetization ... 0.000 μB/atom

Unit cell a=4.035 b=4.035 c=3.968 alpha=90.00 beta=90.00 gamma=90.00
Atoms (fractional coordinates):
Nb (0.000, 0.000, 0.000)
H (0.500, 0.500, 0.500)
Ir (0.000, 0.500, 0.500)
Ir (0.500, 0.000, 0.500)
Pt (0.500, 0.500, 0.000)

Run 2
Density functional theory data (PBE) for NbHIr2Pt after structural relaxation.

Values from the calculation:
Spin magnetization ... 0.000 μB/atom

Unit cell a=3.979 b=3.979 c=4.062 alpha=90.00 beta=90.00 gamma=90.00
Atoms (fractional coordinates):
Nb (0.000, 0.000, 0.000)
H (0.000, 0.000, 0.500)
Ir (0.000, 0.500, 0.500)
Ir (0.500, 0.000, 0.500)
Pt (0.500, 0.500, 0.000)

run 2 is the most stable structure; the next one sits 15 meV/atom above it.